(1)
{"formula": "HoMg2ZnAu4", "functional": "PBE-GGA", "state": "relaxed", "m_tot_mub_per_cell": 0.002, "spacegroup": "P4/mmm (123)", "total_energy_ev_per_atom": -3.319, "lattice": [[-1.1587, 3.5299, 2.8915], [-3.8196, -2.3824, 1.3778], [3.6405, -2.9266, 5.0317]], "species": ["Au", "Au", "Au", "Au", "Zn", "Ho", "Mg", "Mg"], "frac_coords": [[0.0000, 0.5000, 0.7692], [0.5000, 0.0000, 0.2308], [0.5000, 0.0000, 0.7692], [0.0000, 0.5000, 0.2308], [0.5000, 0.5000, 0.0000], [0.0000, 0.0000, 0.5000], [0.0000, 0.0000, 0.0000], [0.5000, 0.5000, 0.5000]]}

---

(2)
{"formula": "PmSiNi", "functional": "PBE-GGA", "state": "relaxed", "m_tot_mub_per_cell": 0.470, "relative_energy_mev_per_atom": 589.3, "spacegroup": "F-43m (216)", "lattice": [[0.0000, 3.1682, 3.1682], [3.1682, 0.0000, 3.1682], [3.1682, 3.1682, 0.0000]], "species": ["Si", "Pm", "Ni"], "frac_coords": [[0.0000, 0.0000, 0.0000], [0.7500, 0.7500, 0.7500], [0.2500, 0.2500, 0.2500]]}

---

(3)
{"formula": "In2AgSn2", "functional": "PBE-GGA", "state": "relaxed", "spacegroup": "I4/mmm (139)", "total_energy_ev_per_atom": -2.962, "lattice": [[3.3560, -3.3560, 0.0000], [3.3560, 3.3560, 0.0000], [-3.3560, 0.0000, 6.4155]], "species": ["Ag", "Sn", "Sn", "In", "In"], "frac_coords": [[0.0000, 0.0000, 0.0000], [0.7500, 0.2500, 0.5000], [0.2500, 0.7500, 0.5000], [0.6069, 0.6069, 0.2138], [0.3931, 0.3931, 0.7862]]}

---

(4)
{"formula": "Zr4Sc2P3C3", "functional": "PBE-GGA", "state": "relaxed", "m_tot_mub_per_cell": 0.013, "spacegroup": "C2/c (15)", "total_energy_ev_per_atom": -8.569, "lattice": [[5.1924, -3.0010, 0.0000], [5.1924, 3.0010, 0.0000], [-3.4699, 0.0000, 12.1869]], "species": ["P", "P", "P", "P", "P", "P", "C", "C", "C", "C", "C", "C", "Sc", "Sc", "Sc", "Sc", "Zr", "Zr", "Zr", "Zr", "Zr", "Zr", "Zr", "Zr"], "frac_coords": [[0.7469, 0.5832, 0.7502], [0.2531, 0.4168, 0.2498], [0.4168, 0.2531, 0.7498], [0.9137, 0.0863, 0.2500], [0.5832, 0.7469, 0.2502], [0.0863, 0.9137, 0.7500], [0.8427, 0.3288, 0.0000], [0.0000, 0.5000, 0.5000], [0.3288, 0.8427, 0.5000], [0.1573, 0.6712, 0.0000], [0.5000, 0.0000, 0.0000], [0.6712, 0.1573, 0.5000], [0.5357, 0.3698, 0.1057], [0.4643, 0.6302, 0.8943], [0.3698, 0.5357, 0.6057], [0.6302, 0.4642, 0.3943], [0.9673, 0.7966, 0.3952], [0.0327, 0.2034, 0.6048], [0.2985, 0.1338, 0.3953], [0.8662, 0.7015, 0.1047], [0.2034, 0.0327, 0.1048], [0.7015, 0.8662, 0.6047], [0.1338, 0.2985, 0.8953], [0.7966, 0.9673, 0.8952]]}

---

(5)
{"formula": "Lu2Ta4Cu3N3", "functional": "PBE-GGA", "state": "relaxed", "m_tot_mub_per_cell": 0.001, "spacegroup": "C2/c (15)", "total_energy_ev_per_atom": -8.426, "lattice": [[-1.7985, 0.0316, -5.1353], [-4.8760, -2.1003, -1.1914], [-3.3944, 12.6661, 4.1982]], "species": ["Ta", "Ta", "Ta", "Ta", "Ta", "Ta", "Ta", "Ta", "N", "N", "N", "N", "N", "N", "Cu", "Cu", "Cu", "Cu", "Cu", "Cu", "Lu", "Lu", "Lu", "Lu"], "frac_coords": [[0.6933, 0.8584, 0.0844], [0.8003, 0.9781, 0.4154], [0.9781, 0.8003, 0.9154], [0.0219, 0.1997, 0.0846], [0.1997, 0.0219, 0.5846], [0.8584, 0.6933, 0.5844], [0.3067, 0.1416, 0.9156], [0.1416, 0.3067, 0.4156], [0.8220, 0.3391, 0.5000], [0.0000, 0.5000, 0.0000], [0.5000, 0.0000, 0.5000], [0.3391, 0.8220, 0.0000], [0.6609, 0.1780, 0.0000], [0.1780, 0.6609, 0.5000], [0.4146, 0.1020, 0.2488], [0.0695, 0.9305, 0.7500], [0.5854, 0.8980, 0.7512], [0.1020, 0.4146, 0.7488], [0.9305, 0.0695, 0.2500], [0.8980, 0.5854, 0.2512], [0.5414, 0.3774, 0.6194], [0.3774, 0.5414, 0.1194], [0.6226, 0.4586, 0.8806], [0.4586, 0.6226, 0.3806]]}

---

(6)
{"formula": "GaCu17", "functional": "PBE-GGA", "state": "relaxed", "relative_energy_mev_per_atom": 0.0, "spacegroup": "P-3m1 (164)", "lattice": [[5.0932, 0.0000, 0.0000], [-2.5466, 4.4109, 0.0000], [0.0000, 0.0000, 31.7801]], "species": ["Cu", "Cu", "Cu", "Cu", "Cu", "Cu", "Cu", "Cu", "Cu", "Cu", "Cu", "Cu", "Cu", "Cu", "Cu", "Cu", "Cu", "Cu", "Cu", "Cu", "Cu", "Cu", "Cu", "Cu", "Cu", "Cu", "Cu", "Cu", "Cu", "Cu", "Cu", "Cu", "Cu", "Cu", "Ga", "Ga"], "frac_coords": [[0.8335, 0.6670, 0.5656], [0.1665, 0.3330, 0.4344], [0.3335, 0.1667, 0.7638], [0.6667, 0.3333, 0.4343], [0.5003, 0.4997, 0.6969], [0.3333, 0.6667, 0.3690], [0.8335, 0.1665, 0.5656], [0.0000, 0.5000, 0.5000], [0.1665, 0.8335, 0.6314], [0.5003, 0.0007, 0.6969], [0.9993, 0.4997, 0.6969], [0.8333, 0.1667, 0.7638], [0.8333, 0.6665, 0.7638], [0.4997, 0.5003, 0.3031], [0.0000, 0.0000, 0.3029], [0.3333, 0.6667, 0.5657], [0.3330, 0.1665, 0.5656], [0.5000, 0.0000, 0.5000], [0.0000, 0.0000, 0.5000], [0.6670, 0.8335, 0.4344], [0.1665, 0.3331, 0.6314], [0.6667, 0.3333, 0.6310], [0.1665, 0.8335, 0.4344], [0.1667, 0.3335, 0.2362], [0.1667, 0.8333, 0.2362], [0.6665, 0.8333, 0.2362], [0.0000, 0.0000, 0.6971], [0.3331, 0.1665, 0.3686], [0.6669, 0.8335, 0.6314], [0.8335, 0.1665, 0.3686], [0.4997, 0.9993, 0.3031], [0.8335, 0.6669, 0.3686], [0.0007, 0.5003, 0.3031], [0.5000, 0.5000, 0.5000], [0.6667, 0.3333, 0.2312], [0.3333, 0.6667, 0.7688]]}

---

(7)
{"formula": "KNdSnSe3", "functional": "PBE-GGA", "state": "relaxed", "m_tot_mub_per_cell": 0.004, "relative_energy_mev_per_atom": 0.0, "spacegroup": "Pnma (62)", "lattice": [[15.4899, 0.0000, 0.0000], [0.0000, 4.2678, 0.0000], [0.0000, 0.0000, 12.5030]], "species": ["K", "K", "K", "K", "Se", "Se", "Se", "Se", "Se", "Se", "Se", "Se", "Se", "Se", "Se", "Se", "Nd", "Nd", "Nd", "Nd", "Sn", "Sn", "Sn", "Sn"], "frac_coords": [[0.7345, 0.2500, 0.4003], [0.2345, 0.2500, 0.0997], [0.7655, 0.7500, 0.9003], [0.2655, 0.7500, 0.5997], [0.5922, 0.7500, 0.2751], [0.8658, 0.2500, 0.1758], [0.6040, 0.2500, 0.9523], [0.3960, 0.7500, 0.0477], [0.3658, 0.2500, 0.3242], [0.1342, 0.7500, 0.8242], [0.4078, 0.2500, 0.7249], [0.6342, 0.7500, 0.6758], [0.9078, 0.2500, 0.7751], [0.0922, 0.7500, 0.2249], [0.8960, 0.7500, 0.4523], [0.1040, 0.2500, 0.5477], [0.9998, 0.7500, 0.6479], [0.5002, 0.2500, 0.1479], [0.4998, 0.7500, 0.8521], [0.0001, 0.2500, 0.3521], [0.0424, 0.2500, 0.9110], [0.5424, 0.2500, 0.5890], [0.4576, 0.7500, 0.4110], [0.9576, 0.7500, 0.0890]]}

---

(8)
{"formula": "CuH8C12IN4", "functional": "PBE-GGA", "state": "relaxed", "relative_energy_mev_per_atom": 1.3, "spacegroup": "Pnn2 (34)", "lattice": [[11.9044, 0.0000, 0.0000], [0.0000, 12.7056, 0.0000], [0.0000, 0.0000, 8.8186]], "species": ["C", "C", "C", "C", "C", "C", "C", "C", "C", "C", "C", "C", "C", "C", "C", "C", "C", "C", "C", "C", "C", "C", "C", "C", "C", "C", "C", "C", "C", "C", "C", "C", "C", "C", "C", "C", "C", "C", "C", "C", "C", "C", "C", "C", "C", "C", "C", "C", "H", "H", "H", "H", "H", "H", "H", "H", "H", "H", "H", "H", "H", "H", "H", "H", "H", "H", "H", "H", "H", "H", "H", "H", "H", "H", "H", "H", "H", "H", "H", "H", "N", "N", "N", "N", "N", "N", "N", "N", "N", "N", "N", "N", "N", "N", "N", "N", "Cu", "Cu", "Cu", "Cu", "I", "I", "I", "I"], "frac_coords": [[0.6310, 0.2675, 0.5294], [0.6800, 0.0901, 0.5917], [0.7507, 0.2793, 0.9424], [0.1816, 0.6489, 0.8568], [0.3184, 0.1489, 0.3568], [0.2259, 0.2301, 0.9377], [0.7493, 0.7793, 0.4424], [0.7845, 0.1745, 0.9565], [0.7156, 0.1050, 0.0354], [0.3927, 0.8243, 0.6088], [0.2507, 0.2207, 0.4424], [0.1547, 0.5054, 0.1698], [0.7155, 0.6745, 0.4565], [0.8927, 0.6757, 0.1088], [0.3690, 0.7325, 0.5294], [0.5893, 0.2491, 0.0798], [0.2845, 0.3255, 0.4565], [0.1310, 0.2325, 0.0294], [0.6073, 0.1757, 0.6088], [0.2156, 0.3950, 0.5354], [0.6816, 0.8511, 0.3568], [0.7844, 0.6050, 0.5354], [0.9107, 0.7491, 0.5798], [0.2741, 0.7301, 0.4377], [0.7741, 0.7699, 0.9377], [0.2493, 0.7207, 0.9424], [0.7944, 0.1815, 0.4278], [0.1156, 0.3571, 0.5963], [0.0893, 0.2509, 0.5798], [0.2944, 0.3185, 0.9278], [0.2056, 0.8185, 0.4278], [0.6156, 0.1429, 0.0963], [0.8184, 0.3511, 0.8568], [0.4107, 0.7509, 0.0798], [0.6547, 0.9946, 0.6698], [0.1073, 0.3243, 0.1088], [0.1800, 0.4099, 0.0917], [0.7259, 0.2699, 0.4377], [0.3200, 0.9099, 0.5917], [0.8844, 0.6429, 0.5963], [0.8690, 0.7675, 0.0294], [0.8200, 0.5901, 0.0917], [0.8453, 0.4946, 0.1698], [0.3844, 0.8571, 0.0963], [0.3453, 0.0054, 0.6698], [0.2844, 0.8950, 0.0354], [0.2155, 0.8255, 0.9565], [0.7056, 0.6815, 0.9278], [0.2398, 0.4772, 0.5497], [0.4663, 0.8318, 0.6815], [0.2516, 0.6604, 0.3729], [0.9865, 0.7824, 0.6300], [0.6309, 0.6805, 0.8559], [0.9663, 0.6682, 0.1815], [0.5135, 0.2824, 0.1300], [0.3629, 0.3523, 0.4048], [0.2602, 0.9772, 0.0497], [0.7484, 0.3396, 0.3729], [0.0767, 0.1637, 0.0403], [0.9414, 0.5918, 0.6585], [0.7602, 0.5228, 0.5497], [0.2484, 0.1604, 0.8729], [0.5586, 0.0918, 0.1585], [0.9233, 0.8363, 0.0403], [0.0135, 0.2176, 0.6300], [0.3691, 0.3195, 0.8559], [0.5337, 0.1682, 0.6815], [0.5767, 0.3363, 0.5403], [0.7516, 0.8396, 0.8729], [0.4414, 0.9082, 0.1585], [0.7398, 0.0228, 0.0497], [0.0586, 0.4082, 0.6585], [0.1309, 0.8195, 0.3559], [0.1371, 0.8523, 0.9048], [0.6371, 0.6477, 0.4048], [0.8691, 0.1805, 0.3559], [0.8629, 0.1477, 0.9048], [0.4233, 0.6637, 0.5403], [0.0337, 0.3318, 0.1815], [0.4865, 0.7176, 0.1300], [0.1550, 0.1817, 0.5052], [0.3762, 0.0942, 0.2844], [0.3736, 0.0811, 0.7346], [0.6550, 0.3183, 0.0052], [0.7737, 0.0915, 0.5033], [0.7263, 0.5915, 0.0033], [0.2263, 0.9085, 0.5033], [0.1264, 0.5812, 0.2346], [0.2737, 0.4085, 0.0033], [0.6264, 0.9188, 0.7346], [0.8736, 0.4188, 0.2346], [0.8762, 0.4058, 0.7844], [0.6238, 0.9058, 0.2844], [0.3450, 0.6817, 0.0052], [0.8450, 0.8183, 0.5052], [0.1238, 0.5942, 0.7844], [0.3857, 0.5279, 0.9980], [0.6143, 0.4721, 0.9980], [0.8857, 0.9721, 0.4980], [0.1143, 0.0279, 0.4980], [0.5000, 0.5000, 0.2566], [0.0000, 0.0000, 0.2433], [0.5000, 0.5000, 0.7433], [0.0000, 0.0000, 0.7566]]}

---

(9)
{"formula": "HfTlAuSe2S", "functional": "PBE-GGA", "state": "relaxed", "m_tot_mub_per_cell": 0.011, "spacegroup": "Cmcm (63)", "total_energy_ev_per_atom": -5.206, "lattice": [[2.8201, 3.6234, 6.1965], [-5.6367, -3.9074, -3.5267], [3.9913, -8.7210, 3.2831]], "species": ["Hf", "Hf", "Au", "Au", "S", "S", "Se", "Se", "Se", "Se", "Tl", "Tl"], "frac_coords": [[0.5000, 0.5000, 0.0000], [0.5000, 0.5000, 0.5000], [0.9405, 0.0595, 0.7500], [0.0595, 0.9405, 0.2500], [0.5544, 0.4456, 0.7500], [0.4456, 0.5544, 0.2500], [0.1277, 0.8723, 0.0192], [0.8723, 0.1277, 0.9808], [0.8723, 0.1277, 0.5192], [0.1277, 0.8723, 0.4808], [0.2543, 0.7457, 0.7500], [0.7457, 0.2543, 0.2500]]}

---

(10)
{"formula": "GdSn4W", "functional": "PBE-GGA", "state": "relaxed", "m_tot_mub_per_cell": 0.010, "spacegroup": "Cmmm (65)", "total_energy_ev_per_atom": -5.274, "lattice": [[5.4512, -5.5200, 0.0000], [5.4512, 5.5200, 0.0000], [0.0000, 0.0000, 3.0676]], "species": ["W", "Gd", "Sn", "Sn", "Sn", "Sn"], "frac_coords": [[0.5000, 0.5000, 0.5000], [0.0000, 0.0000, 0.0000], [0.2516, 0.7484, 0.5000], [0.7150, 0.7150, 0.0000], [0.2850, 0.2850, 0.0000], [0.7484, 0.2516, 0.5000]]}

---

(11)
{"formula": "HoAsPb", "functional": "PBE-GGA", "state": "relaxed", "m_tot_mub_per_cell": 0.001, "spacegroup": "F-43m (216)", "total_energy_ev_per_atom": -4.257, "lattice": [[0.0000, 3.5600, 3.5600], [3.5600, 0.0000, 3.5600], [3.5600, 3.5600, 0.0000]], "species": ["Pb", "As", "Ho"], "frac_coords": [[0.0000, 0.0000, 0.0000], [0.2500, 0.2500, 0.2500], [0.7500, 0.7500, 0.7500]]}

---

(12)
{"formula": "TbDyNi4Sn2", "functional": "PBE-GGA", "state": "relaxed", "m_tot_mub_per_cell": 0.001, "spacegroup": "P-6m2 (187)", "total_energy_ev_per_atom": -5.473, "lattice": [[4.3637, 0.0000, 0.0000], [-2.1818, 3.7791, 0.0000], [0.0000, 0.0000, 8.6306]], "species": ["Tb", "Sn", "Sn", "Ni", "Ni", "Ni", "Ni", "Dy"], "frac_coords": [[0.6667, 0.3333, 0.5000], [0.3333, 0.6667, 0.2493], [0.3333, 0.6667, 0.7507], [0.0000, 0.0000, 0.3336], [0.0000, 0.0000, 0.6664], [0.6667, 0.3333, 0.8351], [0.6667, 0.3333, 0.1649], [0.0000, 0.0000, 0.0000]]}

---

(13)
{"formula": "Li2ZrSn", "functional": "PBE-GGA", "state": "relaxed", "m_tot_mub_per_cell": 0.001, "spacegroup": "F-43m (216)", "total_energy_ev_per_atom": -4.281, "lattice": [[0.6446, -0.6082, 4.6830], [-3.2386, -2.3797, 2.5621], [1.0316, -4.3228, 1.7220]], "species": ["Sn", "Li", "Li", "Zr"], "frac_coords": [[0.5000, 0.5000, 0.5000], [0.0000, 0.0000, 0.0000], [0.7500, 0.7500, 0.7500], [0.2500, 0.2500, 0.2500]]}

---

(14)
{"formula": "ErAl4CdPd2", "functional": "PBE-GGA", "state": "relaxed", "m_tot_mub_per_cell": 0.014, "spacegroup": "Amm2 (38)", "total_energy_ev_per_atom": -4.446, "lattice": [[7.0536, 0.0000, 0.0000], [0.0000, 2.1068, 4.9188], [0.0000, -2.1068, 4.9188]], "species": ["Al", "Al", "Al", "Al", "Pd", "Pd", "Cd", "Er"], "frac_coords": [[0.2982, 0.8598, 0.8598], [0.1947, 0.1445, 0.1445], [0.7018, 0.8598, 0.8598], [0.8053, 0.1445, 0.1445], [0.5000, 0.2849, 0.2849], [0.0000, 0.7096, 0.7096], [0.0000, 0.4282, 0.4282], [0.5000, 0.5688, 0.5688]]}

---

(15)
{"formula": "ZrFeNiGe", "functional": "PBE-GGA", "state": "relaxed", "m_tot_mub_per_cell": 2.412, "relative_energy_mev_per_atom": 142.4, "spacegroup": "F-43m (216)", "lattice": [[-0.0503, -0.2534, 4.3874], [-3.8266, -0.3077, 2.1396], [-1.1191, -3.7655, 1.9710]], "species": ["Fe", "Zr", "Ni", "Ge"], "frac_coords": [[0.7500, 0.7500, 0.7500], [0.2500, 0.2500, 0.2500], [0.5000, 0.5000, 0.5000], [0.0000, 0.0000, 0.0000]]}

---

(16)
{"formula": "CsLa2Cu3Se5", "functional": "PBE-GGA", "state": "relaxed", "m_tot_mub_per_cell": 0.002, "spacegroup": "Cmcm (63)", "total_energy_ev_per_atom": -4.740, "lattice": [[-4.5258, 6.1411, -1.1737], [0.5238, -7.6111, 1.1711], [-1.0014, 2.6945, 17.9596]], "species": ["Se", "Se", "Se", "Se", "Se", "Se", "Se", "Se", "Se", "Se", "La", "La", "La", "La", "Cu", "Cu", "Cu", "Cu", "Cu", "Cu", "Cs", "Cs"], "frac_coords": [[0.7661, 0.2339, 0.2500], [0.1609, 0.8391, 0.0693], [0.8391, 0.1609, 0.5693], [0.5561, 0.4439, 0.8893], [0.5561, 0.4439, 0.6107], [0.4439, 0.5561, 0.1107], [0.1609, 0.8391, 0.4307], [0.2339, 0.7661, 0.7500], [0.8391, 0.1609, 0.9307], [0.4439, 0.5561, 0.3893], [0.1922, 0.8078, 0.5911], [0.1922, 0.8078, 0.9089], [0.8078, 0.1922, 0.0911], [0.8078, 0.1922, 0.4089], [0.4165, 0.5835, 0.5287], [0.5835, 0.4165, 0.4713], [0.6610, 0.3390, 0.7500], [0.4165, 0.5835, 0.9713], [0.3390, 0.6610, 0.2500], [0.5835, 0.4165, 0.0287], [0.0612, 0.9387, 0.2500], [0.9387, 0.0612, 0.7500]]}